Below is Na2ScMnO4 after structural relaxation, with properties calculated at the PBE+U level.

The total energy is -6.620 eV per atom. As for the symmetry: P2/m. The spin magnetization is 0.250 μB/atom.

a b c (Å): 3.120 5.279 5.713
angles (deg): 108.17 90.00 90.00
Each line ends with the local moment (μB).
Fractional positions:
Na: 0.500 0.000 0.500  0.00
Na: 0.000 0.500 0.500  0.00
Sc: 0.000 0.000 0.000  0.01
Mn: 0.500 0.500 0.000  2.04
O: 0.500 0.247 0.202  -0.01
O: 0.500 0.753 0.798  -0.01
O: 0.000 0.277 0.801  -0.03
O: 0.000 0.723 0.199  -0.03